Material: DyYSc2
Method: DFT, PBE
State: relaxed

Lattice parameters (Å, degrees): 11.1665 11.1665 11.1665 17.66 17.66 17.66
Element x y z (fractional)
Dy  0.0000  0.0000  0.0000
Y  0.5000  0.5000  0.5000
Sc  0.2504  0.2504  0.2504
Sc  0.7496  0.7496  0.7496

## Properties
DOS(E_F) = 1.553 states/eV per atom
energy relative to the elements = 0.06 eV per atom
spin magnetization = 0.000 μB per cell
energy above the most stable polymorph in this dataset = 31.2 meV/atom
SG = R-3m, No. 166

---

Material: Dy12Y6Sc
Method: DFT, PBE
State: relaxed

Lattice parameters (Å, degrees): 9.8565 9.8565 9.8565 112.61 112.61 112.61
Element x y z (fractional)
Dy  0.0000  0.3806  0.6194
Dy  0.0000  0.6194  0.3806
Dy  0.2634  0.2634  0.5804
Dy  0.2634  0.5804  0.2634
Dy  0.3806  0.0000  0.6194
Dy  0.3806  0.6194  0.0000
Dy  0.4196  0.7366  0.7366
Dy  0.5804  0.2634  0.2634
Dy  0.6194  0.0000  0.3806
Dy  0.6194  0.3806  0.0000
Dy  0.7366  0.4196  0.7366
Dy  0.7366  0.7366  0.4196
Y  0.1276  0.8122  0.8122
Y  0.1878  0.1878  0.8724
Y  0.1878  0.8724  0.1878
Y  0.8122  0.1276  0.8122
Y  0.8122  0.8122  0.1276
Y  0.8724  0.1878  0.1878
Sc  0.5000  0.5000  0.5000

## Properties
DOS(E_F) = 1.334 states/eV per atom
energy relative to the elements = 0.37 eV per atom
spin magnetization = 0.000 μB per cell
SG = R-3m, No. 166

---

Material: DyYSc2
Method: DFT, PBE
State: relaxed

Lattice parameters (Å, degrees): 5.4173 5.4173 5.4173 60.00 60.00 60.00
Element x y z (fractional)
Dy  0.0000  0.0000  0.0000
Y  0.5000  0.5000  0.5000
Sc  0.2500  0.2500  0.2500
Sc  0.7500  0.7500  0.7500

## Properties
DOS(E_F) = 1.667 states/eV per atom
energy relative to the elements = 0.09 eV per atom
spin magnetization = 0.000 μB per cell
energy above the most stable polymorph in this dataset = 59.5 meV/atom
SG = Fm-3m, No. 225

---

Material: Dy5Y5Sc
Method: DFT, PBE
State: relaxed

Lattice parameters (Å, degrees): 9.8176 9.8176 6.9037 110.47 110.47 34.81
Element x y z (fractional)
Dy  0.0000  0.0000  0.0000
Dy  0.3299  0.3299  0.3295
Dy  0.3765  0.3765  0.8758
Dy  0.6235  0.6235  0.1242
Dy  0.6701  0.6701  0.6705
Y  0.1758  0.1758  0.4312
Y  0.1759  0.1759  0.9206
Y  0.5000  0.5000  0.5000
Y  0.8241  0.8241  0.0794
Y  0.8242  0.8242  0.5688
Sc  0.0000  0.0000  0.5000

## Properties
DOS(E_F) = 1.578 states/eV per atom
energy relative to the elements = 0.28 eV per atom
spin magnetization = 1.412 μB per cell
SG = C2/m, No. 12

---

Material: Dy4Y10Sc
Method: DFT, PBE
State: relaxed

Lattice parameters (Å, degrees): 8.6176 8.6176 8.6176 110.77 110.77 106.90
Element x y z (fractional)
Dy  0.0663  0.6763  0.7426
Dy  0.3237  0.0663  0.3900
Dy  0.6763  0.9337  0.6100
Dy  0.9337  0.3237  0.2574
Y  0.1256  0.2254  0.6774
Y  0.2254  0.5481  0.0999
Y  0.2500  0.7500  0.5000
Y  0.4482  0.1256  0.9001
Y  0.4519  0.5518  0.6774
Y  0.5481  0.4482  0.3226
Y  0.5518  0.8744  0.0999
Y  0.7500  0.2500  0.5000
Y  0.7746  0.4519  0.9001
Y  0.8744  0.7746  0.3226
Sc  0.0000  0.0000  0.0000

## Properties
DOS(E_F) = 1.740 states/eV per atom
energy relative to the elements = 0.38 eV per atom
spin magnetization = 0.000 μB per cell
SG = I4/m, No. 87

---

Material: Dy12YSc6
Method: DFT, PBE
State: relaxed

Lattice parameters (Å, degrees): 9.0352 9.0352 9.0352 107.60 107.60 107.60
Element x y z (fractional)
Dy  0.0000  0.3880  0.6120
Dy  0.0000  0.6120  0.3880
Dy  0.1260  0.1260  0.3497
Dy  0.1260  0.3497  0.1260
Dy  0.3497  0.1260  0.1260
Dy  0.3880  0.0000  0.6120
Dy  0.3880  0.6120  0.0000
Dy  0.6120  0.0000  0.3880
Dy  0.6120  0.3880  0.0000
Dy  0.6503  0.8740  0.8740
Dy  0.8740  0.6503  0.8740
Dy  0.8740  0.8740  0.6503
Y  0.5000  0.5000  0.5000
Sc  0.1886  0.1886  0.7734
Sc  0.1886  0.7734  0.1886
Sc  0.2266  0.8114  0.8114
Sc  0.7734  0.1886  0.1886
Sc  0.8114  0.2266  0.8114
Sc  0.8114  0.8114  0.2266

## Properties
DOS(E_F) = 1.410 states/eV per atom
energy relative to the elements = 0.43 eV per atom
spin magnetization = 0.000 μB per cell
energy above the most stable polymorph in this dataset = 191.5 meV/atom
SG = R-3m, No. 166

---

Material: DyYSc2
Method: DFT, PBE
State: relaxed

Lattice parameters (Å, degrees): 11.0843 11.0843 11.0843 17.92 17.92 17.92
Element x y z (fractional)
Dy  0.0000  0.0000  0.0000
Y  0.8341  0.8341  0.8341
Sc  0.2510  0.2510  0.2510
Sc  0.4165  0.4165  0.4165

## Properties
DOS(E_F) = 1.756 states/eV per atom
energy relative to the elements = 0.06 eV per atom
spin magnetization = 0.002 μB per cell
energy above the most stable polymorph in this dataset = 23.8 meV/atom
SG = R3m, No. 160

---

Material: Dy8Y2Sc
Method: DFT, PBE
State: relaxed

Lattice parameters (Å, degrees): 8.8262 8.8262 6.5872 100.67 100.67 43.79
Element x y z (fractional)
Dy  0.0922  0.0922  0.9102
Dy  0.1588  0.6760  0.6112
Dy  0.2537  0.2537  0.6707
Dy  0.3240  0.8412  0.3888
Dy  0.6760  0.1588  0.6112
Dy  0.7463  0.7463  0.3293
Dy  0.8412  0.3240  0.3888
Dy  0.9078  0.9078  0.0898
Y  0.3101  0.3101  0.1889
Y  0.6899  0.6899  0.8111
Sc  0.5000  0.5000  0.0000

## Properties
DOS(E_F) = 1.595 states/eV per atom
energy relative to the elements = 0.17 eV per atom
spin magnetization = 0.000 μB per cell
SG = C2/m, No. 12